PBE Ca2Bi2As, optimized geometry; D(E_F) = 2.99 states/eV/f.u.; ΔE to the lowest computed polymorph = 0 meV per atom; symmetry = P4/mbm (127); energy relative to the elements = -514.5 meV per atom
1.0
-1.726 -7.394 2.118
3.806 1.065 6.820
-4.254 1.602 2.124
Ca As Bi
4 2 4
Direct
0.327 0.827 0.000
0.673 0.173 0.000
0.173 0.327 0.000
0.827 0.673 0.000
0.000 0.000 0.000
0.500 0.500 0.000
0.366 0.134 0.500
0.866 0.366 0.500
0.134 0.634 0.500
0.634 0.866 0.500

PBE PrSm2Tm4, optimized geometry; D(E_F) = 10.04 states/eV/f.u.; ΔE to the lowest computed polymorph = 0 meV per atom; symmetry = P1 (1); energy relative to the elements = 161.1 meV per atom
1.0
-3.060 5.991 -5.088
-7.021 -6.224 -3.574
2.404 4.752 7.695
Pr Tm Sm
2 8 4
Direct
0.158 0.036 0.859
0.969 0.482 0.303
0.026 0.885 0.346
0.724 0.935 0.722
0.309 0.105 0.308
0.326 0.636 0.318
0.445 0.713 0.766
0.888 0.685 0.785
0.862 0.135 0.285
0.430 0.193 0.762
0.563 0.305 0.231
0.772 0.342 0.759
0.592 0.786 0.213
0.186 0.511 0.841

PBE AlBS, optimized geometry; D(E_F) = 0.29 states/eV/f.u.; formation energy (no corrections) = -0.3781 eV per atom; ΔE to the lowest computed polymorph = 0 meV per atom; symmetry = P1 (1)
1.0
-1.327 1.947 2.343
2.681 -1.874 0.719
5.109 8.523 -4.275
Al S B
2 2 2
Direct
0.666 0.033 0.851
0.798 0.284 0.241
0.168 0.019 0.351
0.961 0.628 0.742
0.759 0.206 0.046
0.405 0.499 0.046

PBE Pu2MnGe8, optimized geometry; D(E_F) = 17.25 states/eV/f.u.; symmetry = P4/mmm (123); energy relative to the elements = -282.5 meV per atom
1.0
4.231 0.000 0.000
0.000 4.231 0.000
0.000 0.000 11.177
Pu Mn Ge
2 1 8
Direct
0.000 0.000 0.693
0.000 0.000 0.307
0.000 0.000 0.000
0.000 0.500 0.500
0.500 0.000 0.500
0.500 0.000 0.882
0.500 0.500 0.691
0.500 0.000 0.118
0.500 0.500 0.309
0.000 0.500 0.882
0.000 0.500 0.118

PBE Tb5Ge3C, optimized geometry; D(E_F) = 7.67 states/eV/f.u.; symmetry = P6_3/mcm (193); energy relative to the elements = -714.3 meV per atom
1.0
-4.761 6.896 1.716
2.602 -5.091 6.362
5.422 3.582 0.649
Tb Ge C
10 6 2
Direct
0.000 0.221 0.750
0.221 0.000 0.750
0.779 0.000 0.250
0.221 0.221 0.250
0.779 0.779 0.750
0.667 0.333 0.000
0.000 0.779 0.250
0.667 0.333 0.500
0.333 0.667 0.500
0.333 0.667 0.000
0.000 0.411 0.250
0.000 0.589 0.750
0.589 0.589 0.250
0.589 0.000 0.750
0.411 0.411 0.750
0.411 0.000 0.250
0.000 0.000 0.000
0.000 0.000 0.500

PBE KAl2Ir, optimized geometry; D(E_F) = 2.92 states/eV/f.u.; ΔE to the lowest computed polymorph = 209 meV per atom; symmetry = Cm (8); energy relative to the elements = 6.4 meV per atom
1.0
6.465 0.026 0.776
5.812 2.832 0.776
5.343 1.244 6.920
Ir K Al
1 1 2
Direct
0.442 0.442 0.741
0.186 0.186 0.253
0.093 0.093 0.754
0.780 0.780 0.751

PBE Ce2ZrSc, optimized geometry; D(E_F) = 10.08 states/eV/f.u.; ΔE to the lowest computed polymorph = 0 meV per atom; symmetry = R3m (160); energy relative to the elements = 96.7 meV per atom
1.0
-2.475 -0.609 2.058
-1.828 -2.690 -0.388
5.390 -6.681 7.112
Ce Zr Sc
2 1 1
Direct
0.250 0.250 0.249
0.083 0.083 0.750
0.668 0.668 0.997
0.499 0.499 0.503

PBE ZrTaOs, optimized geometry; D(E_F) = 1.93 states/eV/f.u.; ΔE to the lowest computed polymorph = 241 meV per atom; symmetry = P3m1 (156); energy relative to the elements = -165.0 meV per atom
1.0
4.535 0.000 0.000
-2.268 3.927 0.000
0.000 0.000 2.993
Zr Ta Os
1 1 1
Direct
0.667 0.333 0.678
0.333 0.667 0.309
0.000 0.000 0.013